Record 1
Entry from Alexandria via LeMat-Bulk: an optimized crystal structure of TcSnHF (PBE-GGA).

ΔE to the lowest computed polymorph: 70 meV/atom
magnetic moment: 1.917 Bohr magnetons per cell
calculated volume: 105.9 Å³/cell

abc: 3.128 3.992 8.480
angles: 90.00 90.00 90.00
Space group Imm2 (No. 44)
One atom of each set of equivalent atoms:
Tc  0.000  0.000  0.000 [2 per cell]
Sn  0.000  0.000  0.661 [2 per cell]
H  0.000  0.500  0.398 [2 per cell]
F  0.000  0.500  0.876 [2 per cell]


Record 2
Entry from Alexandria via LeMat-Bulk: an optimized crystal structure of Rb3ZrTl (PBE-GGA).

ΔE to the lowest computed polymorph: 0 meV/atom
energy of formation: 1.0443 eV/atom
magnetic moment: 3.009 Bohr magnetons per cell
calculated volume: 333.6 Å³/cell

abc: 6.935 6.935 6.935
angles: 90.00 90.00 90.00
Space group Pm-3m (No. 221)
One atom of each set of equivalent atoms:
Rb  0.000  0.000  0.500 [3 per cell]
Zr  0.500  0.500  0.500 [1 per cell]
Tl  0.000  0.000  0.000 [1 per cell]


Record 3
Entry from Alexandria via LeMat-Bulk: an optimized crystal structure of Te4IrRh (PBE-GGA).

ΔE to the lowest computed polymorph: 0 meV/atom
energy relative to the elements, uncorrected: -0.3271 eV/atom
magnetic moment: 0.000 Bohr magnetons per cell
calculated volume: 150.1 Å³/cell

abc: 5.501 3.973 6.869
angles: 90.00 90.32 90.00
Space group P2/m (No. 10)
One atom of each set of equivalent atoms:
Te  0.248  0.000  0.164 [2 per cell]
Te  0.250  0.500  0.666 [2 per cell]
Ir  0.500  0.500  0.000 [1 per cell]
Rh  0.500  0.000  0.500 [1 per cell]


Record 4
Entry from Alexandria via LeMat-Bulk: an optimized crystal structure of Fe3CuNi (PBE-GGA).

ΔE to the lowest computed polymorph: 0 meV/atom
energy of formation: 1.0616 eV/atom
magnetic moment: 9.565 Bohr magnetons per cell
calculated volume: 79.4 Å³/cell

abc: 4.298 4.298 4.298
angles: 90.00 90.00 90.00
Space group Pm-3m (No. 221)
One atom of each set of equivalent atoms:
Fe  0.000  0.000  0.500 [3 per cell]
Cu  0.500  0.500  0.500 [1 per cell]
Ni  0.000  0.000  0.000 [1 per cell]


Record 5
Entry from Alexandria via LeMat-Bulk: an optimized crystal structure of Tb6SmDy4 (PBE-GGA).

ΔE to the lowest computed polymorph: 0 meV/atom
energy of formation: 0.1250 eV/atom
magnetic moment: 0.000 Bohr magnetons per cell
calculated volume: 1414.2 Å³/cell

abc: 5.748 9.602 25.624
angles: 90.00 90.00 90.00
Space group Cmcm (No. 63)
One atom of each set of equivalent atoms:
Tb  0.000  0.000  0.000 [4 per cell]
Tb  0.000  0.035  0.250 [4 per cell]
Tb  0.000  0.301  0.603 [8 per cell]
Tb  0.000  0.369  0.181 [8 per cell]
Sm  0.000  0.300  0.750 [4 per cell]
Dy  0.000  0.040  0.121 [8 per cell]
Dy  0.000  0.348  0.043 [8 per cell]


Record 6
Entry from Alexandria via LeMat-Bulk: an optimized crystal structure of ErZnSnPd (PBE-GGA).

energy of formation: -0.6004 eV/atom
magnetic moment: 0.000 Bohr magnetons per cell
calculated volume: 315.6 Å³/cell

abc: 6.808 6.808 6.808
angles: 90.00 90.00 90.00
Space group F-43m (No. 216)
One atom of each set of equivalent atoms:
Er  0.000  0.000  0.000 [4 per cell]
Zn  0.250  0.250  0.750 [4 per cell]
Sn  0.000  0.000  0.500 [4 per cell]
Pd  0.250  0.250  0.250 [4 per cell]


Record 7
Entry from Alexandria via LeMat-Bulk: an optimized crystal structure of AcHoSb2 (PBE-GGA).

ΔE to the lowest computed polymorph: 309 meV/atom
energy relative to the elements, uncorrected: -0.8336 eV/atom
magnetic moment: 0.000 Bohr magnetons per cell
calculated volume: 491.5 Å³/cell

abc: 7.892 7.892 7.892
angles: 90.00 90.00 90.00
Space group Fm-3m (No. 225)
One atom of each set of equivalent atoms:
Ac  0.000  0.000  0.000 [4 per cell]
Ho  0.000  0.000  0.500 [4 per cell]
Sb  0.250  0.250  0.250 [8 per cell]


Record 8
Entry from Alexandria via LeMat-Bulk: an optimized crystal structure of Ca2SmHo (PBE-GGA).

ΔE to the lowest computed polymorph: 117 meV/atom
energy of formation: 0.1692 eV/atom
magnetic moment: 0.000 Bohr magnetons per cell
calculated volume: 571.4 Å³/cell

abc: 8.298 8.298 8.298
angles: 90.00 90.00 90.00
Space group Fm-3m (No. 225)
One atom of each set of equivalent atoms:
Ca  0.250  0.250  0.250 [8 per cell]
Sm  0.000  0.000  0.000 [4 per cell]
Ho  0.000  0.000  0.500 [4 per cell]


Record 9
Entry from Alexandria via LeMat-Bulk: an optimized crystal structure of Tb8P3Se3S (PBE-GGA).

energy relative to the elements, uncorrected: -1.6761 eV/atom
magnetic moment: 0.000 Bohr magnetons per cell
calculated volume: 1109.1 Å³/cell

abc: 8.0156 8.0156 19.9336
angles: 90.00 90.00 120.00
Space group R-3m (No. 166, hexagonal axes)
One atom of each set of equivalent atoms:
Tb  0.0000  0.0000  0.2428 [6 per cell]
Tb  0.0028  0.5014  0.7558 [18 per cell]
P  0.0000  0.5000  0.5000 [9 per cell]
Se  0.0000  0.5000  0.0000 [9 per cell]
S  0.0000  0.0000  0.5000 [3 per cell]


Record 10
Entry from Alexandria via LeMat-Bulk: an optimized crystal structure of TmB4Ru (PBE-GGA).

energy of formation: -0.6533 eV/atom
magnetic moment: 0.000 Bohr magnetons per cell
calculated volume: 240.0 Å³/cell

abc: 5.926 11.459 3.534
angles: 90.00 90.00 90.00
Space group Pbam (No. 55)
One atom of each set of equivalent atoms:
Tm  0.129  0.150  0.000 [4 per cell]
B  0.023  0.692  0.500 [4 per cell]
B  0.113  0.547  0.500 [4 per cell]
B  0.135  0.970  0.500 [4 per cell]
B  0.210  0.814  0.500 [4 per cell]
Ru  0.142  0.407  0.000 [4 per cell]


Record 11
Entry from Alexandria via LeMat-Bulk: an optimized crystal structure of Ac2ThSb3Rh4 (PBE-GGA).

energy relative to the elements, uncorrected: -0.8812 eV/atom
magnetic moment: 0.000 Bohr magnetons per cell
calculated volume: 240.8 Å³/cell

abc: 4.670 4.670 11.043
angles: 90.00 90.00 90.00
Space group P-4m2 (No. 115)
One atom of each set of equivalent atoms:
Ac  0.000  0.500  0.223 [2 per cell]
Th  0.000  0.000  0.500 [1 per cell]
Sb  0.000  0.500  0.879 [2 per cell]
Sb  0.500  0.500  0.500 [1 per cell]
Rh  0.000  0.000  0.000 [1 per cell]
Rh  0.000  0.500  0.640 [2 per cell]
Rh  0.500  0.500  0.000 [1 per cell]


Record 12
Entry from Alexandria via LeMat-Bulk: an optimized crystal structure of RbPu4Cl8 (PBE-GGA).

energy relative to the elements, uncorrected: -1.6980 eV/atom
magnetic moment: 50.000 Bohr magnetons per cell
calculated volume: 888.9 Å³/cell

abc: 7.6470 7.6470 17.5530
angles: 90.00 90.00 120.00
Space group P6_3/mmc (No. 194)
One atom of each set of equivalent atoms:
Rb  0.0000  0.0000  0.0000 [2 per cell]
Pu  0.0000  0.0000  0.2500 [2 per cell]
Pu  0.0005  0.5003  0.2500 [6 per cell]
Cl  0.1662  0.3324  0.6456 [12 per cell]
Cl  0.3333  0.6667  0.1475 [4 per cell]